No. 1
VASP calculation (PBE-GGA) on an optimized crystal structure of BaReIN2.

Summary:
relative energy among the computed polymorphs	0.0	meV per atom
VASP energy	-6.1718	eV/atom
crystal system	tetragonal
energy relative to the elements, uncorrected	0.3425	eV/atom
ρ	8012	kg/m3
density of states at the Fermi level	0.650	states/eV/atom

Unit cell a=4.2453 b=4.2453 c=5.5018 alpha=90.00 beta=90.00 gamma=90.00
With the nearest neighbours (Å) after each atom.
Fractional positions:
I (0.0000, 0.0000, 0.5000)  2 Re 2.75, 4 Ba 3.00
Re (0.0000, 0.0000, 0.0000)  4 N 2.12
Ba (0.5000, 0.5000, 0.5000)  4 I 3.00
N (0.0000, 0.5000, 0.0000)  2 Re 2.12
N (0.5000, 0.0000, 0.0000)  2 Re 2.12

***

No. 2
VASP calculation (PBE-GGA) on an optimized crystal structure of Ca2InN.

Summary:
relative energy among the computed polymorphs	330.7	meV per atom
VASP energy	-4.1340	eV/atom
crystal system	tetragonal
energy relative to the elements, uncorrected	-0.3673	eV/atom
ρ	3207	kg/m3
density of states at the Fermi level	0.278	states/eV/atom

Unit cell a=7.0896 b=7.0896 c=6.6080 alpha=57.56 beta=57.56 gamma=90.00
With the nearest neighbours (Å) after each atom.
Fractional positions:
Ca (0.5013, 0.1250, 0.2500)  2 N 2.26
Ca (0.2487, 0.6250, 0.2500)  2 N 2.26
Ca (0.3750, 0.4987, 0.7500)  2 N 2.26
Ca (0.8750, 0.7513, 0.7500)  2 N 2.26
N (0.5000, 0.5000, 0.0000)  4 Ca 2.26
N (0.2500, 0.7500, 0.5000)  4 Ca 2.26
In (0.0000, 0.0000, 0.0000)  4 Ca 3.36
In (0.7500, 0.2500, 0.5000)  4 Ca 3.36